Material: AgGeBiTe3
Method: DFT, SCAN
State: PBEsol geometry

Output
ΔE_f (raw)	-62	meV/atom
SG	Imm2
crystal system	orthorhombic
energy	-40.194	eV per atom

Cell lengths 4.2782, 6.0312, 12.7603 Å; angles 90.00, 90.00, 90.00 degrees
Last column: nearest neighbours and their distance in Å.
Fractional coordinates of all 12 atoms:
Ag 0.0000 0.0000 0.0000  6 Te 2.93-3.03
Ag 0.5000 0.5000 0.5000  6 Te 2.93-3.03
Ge 0.0000 0.0000 0.3232  6 Te 2.93-3.02
Ge 0.5000 0.5000 0.8232  6 Te 2.93-3.02
Bi 0.0000 0.0000 0.6635  6 Te 3.02-3.17
Bi 0.5000 0.5000 0.1635  6 Te 3.02-3.17
Te 0.0000 0.5000 0.3379  2 Ag 2.98, 2 Ge 3.02, 2 Bi 3.09
Te 0.0000 0.5000 0.6574  2 Ag 2.93, 2 Ge 3.01, 2 Bi 3.02
Te 0.0000 0.5000 0.9805  2 Ge 2.93, 2 Ag 3.03, 2 Bi 3.17
Te 0.5000 0.0000 0.1574  2 Ag 2.93, 2 Ge 3.01, 2 Bi 3.02
Te 0.5000 0.0000 0.4805  2 Ge 2.93, 2 Ag 3.03, 2 Bi 3.17
Te 0.5000 0.0000 0.8379  2 Ag 2.98, 2 Ge 3.02, 2 Bi 3.09